The following is a DFT calculation (PBE+U) of a relaxed structure of MnCuReF2.

Summary:
- Total DFT energy (no corrections): -5.332 eV per atom

Cell: 3.833 3.833 5.767 Å, 90.00 90.00 90.00°
Space group P4/mmm (No. 123)
Unique sites:
Mn 0.000 0.000 0.000 [1 per cell]
Cu 0.000 0.000 0.500 [1 per cell]
Re 0.500 0.500 0.000 [1 per cell]
F 0.000 0.500 0.500 [2 per cell]